No. 1
This record from the Alexandria database describes a relaxed structure of MnAlSi. The functional is PBE.

- uncorrected formation energy (meV/atom) = -403
- SG = I4mm, No. 107

Geometry as POSCAR:
```
MnAlSi
1.0
-1.515 1.515 3.987
1.515 -1.515 3.987
1.515 1.515 -3.987
Mn Al Si
1 1 1
Direct
0.000 0.000 0.000
0.674 0.674 0.000
0.358 0.358 0.000
```

No. 2
This record from the Alexandria database describes a relaxed structure of MnIrOs2. The functional is PBE.

- Fermi-level density of states (states/eV per cell) = 4.3
- formation energy (eV per formula unit) = 0.18
- energy relative to the lowest polymorph listed for this composition (meV per atom) = 48
- SG = P4mm, No. 99

Geometry as POSCAR:
```
MnIrOs2
1.0
2.698 0.000 0.000
0.000 2.698 0.000
0.000 0.000 7.538
Mn Ir Os
1 1 2
Direct
0.000 0.000 0.000
0.500 0.500 0.759
0.000 0.000 0.497
0.500 0.500 0.242
```

No. 3
This record from the Alexandria database describes a relaxed structure of TaNi2W. The functional is PBE.

- Fermi-level density of states (states/eV per cell) = 5.7
- formation energy (eV per formula unit) = 0.78
- SG = R-3m, No. 166

Geometry as POSCAR:
```
TaNi2W
1.0
1.373 0.793 8.785
-1.373 0.793 8.785
0.000 -1.585 8.785
Ta Ni W
1 2 1
Direct
0.000 0.000 0.000
0.249 0.249 0.249
0.751 0.751 0.751
0.500 0.500 0.500
```

No. 4
This record from the Alexandria database describes a relaxed structure of Na2Ag2Au. The functional is PBE.

- Fermi-level density of states (states/eV per cell) = 1.6
- formation energy (eV per formula unit) = 1.35
- energy relative to the lowest polymorph listed for this composition (meV per atom) = 381
- SG = I4/mmm, No. 139

Geometry as POSCAR:
```
Na2Ag2Au
1.0
-1.980 1.980 7.087
1.980 -1.980 7.087
1.980 1.980 -7.087
Na Ag Au
2 2 1
Direct
0.250 0.750 0.500
0.750 0.250 0.500
0.093 0.093 0.000
0.907 0.907 0.000
0.500 0.500 0.000
```

No. 5
This record from the Alexandria database describes a relaxed structure of FePtS3. The functional is PBE.

- Fermi-level density of states (states/eV per cell) = 7.6
- uncorrected formation energy (meV/atom) = 709
- energy relative to the lowest polymorph listed for this composition (meV per atom) = 0
- SG = Pm-3m, No. 221

Geometry as POSCAR:
```
FePtS3
1.0
4.377 0.000 0.000
0.000 4.377 0.000
0.000 0.000 4.377
Fe Pt S
1 1 3
Direct
0.000 0.000 0.000
0.500 0.500 0.500
0.000 0.000 0.500
0.000 0.500 0.000
0.500 0.000 0.000
```

No. 6
This record from the Alexandria database describes a relaxed structure of LiZr2Cl. The functional is PBE.

- Fermi-level density of states (states/eV per cell) = 1.0
- uncorrected formation energy (meV/atom) = -489
- energy relative to the lowest polymorph listed for this composition (meV per atom) = 63
- SG = P4mm, No. 99

Geometry as POSCAR:
```
LiZr2Cl
1.0
3.129 0.000 0.000
0.000 3.129 0.000
0.000 0.000 8.595
Li Zr Cl
1 2 1
Direct
0.000 0.000 0.000
0.000 0.000 0.570
0.500 0.500 0.320
0.500 0.500 0.833
```

No. 7
This record from the Alexandria database describes a relaxed structure of BeTeIr3. The functional is PBE.

- Fermi-level density of states (states/eV per cell) = 13.4
- uncorrected formation energy (meV/atom) = 1962
- energy relative to the lowest polymorph listed for this composition (meV per atom) = 1451
- SG = Pm-3m, No. 221

Geometry as POSCAR:
```
BeTeIr3
1.0
4.823 0.000 0.000
0.000 4.823 0.000
0.000 0.000 4.823
Be Te Ir
1 1 3
Direct
0.000 0.000 0.000
0.500 0.500 0.500
0.000 0.500 0.500
0.500 0.000 0.500
0.500 0.500 0.000
```

No. 8
This record from the Alexandria database describes a relaxed structure of K5P. The functional is PBE.

- Fermi-level density of states (states/eV per cell) = 3.4
- formation energy (eV per formula unit) = 2.51
- energy relative to the lowest polymorph listed for this composition (meV per atom) = 467
- SG = P6/mmm, No. 191

Geometry as POSCAR:
```
K5P
1.0
7.002 0.000 0.000
-3.501 6.064 0.000
0.000 0.000 7.570
K P
5 1
Direct
0.000 0.500 0.000
0.333 0.667 0.500
0.500 0.000 0.000
0.500 0.500 0.000
0.667 0.333 0.500
0.000 0.000 0.500
```

No. 9
This record from the Alexandria database describes a relaxed structure of TbPu2ThP4. The functional is PBE.

- Fermi-level density of states (states/eV per cell) = 18.3
- formation energy (eV per formula unit) = -11.05
- SG = P2/m, No. 10

Geometry as POSCAR:
```
TbPu2ThP4
1.0
6.968 0.000 0.000
0.000 4.065 0.000
-2.365 0.000 6.617
Tb Pu Th P
1 2 1 4
Direct
0.000 0.000 0.000
0.500 0.000 0.500
0.500 0.500 0.000
0.000 0.500 0.500
0.258 0.500 0.250
0.259 0.000 0.756
0.741 0.000 0.244
0.742 0.500 0.750
```

No. 10
This record from the Alexandria database describes a relaxed structure of GeP3H. The functional is PBE.

- Fermi-level density of states (states/eV per cell) = 2.4
- energy relative to the lowest polymorph listed for this composition (meV per atom) = 0
- SG = Pm-3m, No. 221

Geometry as POSCAR:
```
GeP3H
1.0
4.075 0.000 0.000
0.000 4.075 0.000
0.000 0.000 4.075
Ge P H
1 3 1
Direct
0.000 0.000 0.000
0.000 0.500 0.500
0.500 0.000 0.500
0.500 0.500 0.000
0.500 0.500 0.500
```

No. 11
This record from the Alexandria database describes a relaxed structure of Ce3Sb5Rh6. The functional is PBE.

- Fermi-level density of states (states/eV per cell) = 35.4
- uncorrected formation energy (meV/atom) = -799
- SG = Pmmn, No. 59

Geometry as POSCAR:
```
Ce3Sb5Rh6
1.0
4.323 0.000 0.000
0.000 13.455 0.000
0.000 0.000 10.021
Ce Sb Rh
6 10 12
Direct
0.250 0.080 0.247
0.250 0.420 0.247
0.250 0.750 0.249
0.750 0.250 0.751
0.750 0.580 0.753
0.750 0.920 0.753
0.250 0.084 0.852
0.250 0.416 0.852
0.250 0.631 0.526
0.250 0.750 0.840
0.250 0.869 0.526
0.750 0.131 0.474
0.750 0.250 0.160
0.750 0.369 0.474
0.750 0.584 0.148
0.750 0.916 0.148
0.250 0.056 0.596
0.250 0.250 0.496
0.250 0.250 0.999
0.250 0.444 0.596
0.250 0.584 0.998
0.250 0.916 0.998
0.750 0.084 0.002
0.750 0.416 0.002
0.750 0.556 0.404
0.750 0.750 0.001
0.750 0.750 0.504
0.750 0.944 0.404
```

No. 12
This record from the Alexandria database describes a relaxed structure of LaNd5Dy2Er. The functional is PBE.

- Fermi-level density of states (states/eV per cell) = 28.5
- formation energy (eV per formula unit) = 1.33
- SG = Cmc2_1, No. 36

Geometry as POSCAR:
```
LaNd5Dy2Er
1.0
2.868 -10.158 0.000
2.868 10.158 0.000
0.000 0.000 10.707
La Nd Dy Er
2 10 4 2
Direct
0.085 0.915 0.500
0.915 0.085 0.000
0.019 0.981 0.788
0.116 0.884 0.069
0.204 0.796 0.753
0.220 0.780 0.361
0.483 0.517 0.069
0.517 0.483 0.569
0.780 0.220 0.861
0.796 0.204 0.253
0.884 0.116 0.569
0.981 0.019 0.288
0.384 0.616 0.364
0.386 0.614 0.780
0.614 0.386 0.280
0.616 0.384 0.864
0.301 0.699 0.057
0.699 0.301 0.557
```

no.,E (eV/f.u.)
1,-19.543
2,-40.312
3,-35.593
4,-10.269
5,-23.339
6,-22.813
7,-23.642
8,-8.388
9,-73.406
10,-20.133
11,-93.705
12,-41.202